The following is a DFT calculation (meta-GGA SCAN) of a PBEsol-optimized structure of CaCr2F10.

abc: 5.4747 5.4747 7.3544
angles: 69.76 69.76 71.99
Last column: magnetic moment on the atom in μB.
Element x y z (fractional)
Ca 0.5418 0.4582 0.0000  0.00
Cr 0.0056 0.0059 0.7439  1.91
Cr 0.9941 0.9944 0.2561  1.91
F 0.7580 0.7998 0.3691  0.00
F 0.2002 0.2420 0.6309  0.00
F 0.2477 0.1977 0.1313  0.01
F 0.8023 0.7523 0.8687  0.01
F 0.0731 0.9269 0.5000  0.05
F 0.9227 0.0773 0.0000  0.02
F 0.2889 0.7411 0.7965  0.01
F 0.2589 0.7111 0.2035  0.01
F 0.7035 0.2551 0.7264  0.00
F 0.7449 0.2965 0.2736  0.00

Its symmetry is C2. The calculation puts the final energy at -9.33 eV/atom. The total moment comes out at 0.31 μB/atom. The uncorrected formation energy comes out at -3037 meV/atom.



The following is a DFT calculation (meta-GGA SCAN) of a PBEsol-optimized structure of Be2TcP.

abc: 3.2004 3.5834 3.5834
angles: 90.00 90.00 90.00
Element x y z (fractional)
P 0.5000 0.0000 0.0000
Tc 0.5000 0.5000 0.5000
Be 0.0000 0.0000 0.5000
Be 0.0000 0.5000 0.0000

Its symmetry is P4/mmm. The calculation puts the final energy at -13.69 eV/atom. The total moment comes out at 0.00 μB/atom. The calculation puts the formation energy from the elements at -153 meV/atom.



The following is a DFT calculation (meta-GGA SCAN) of a PBEsol-optimized structure of BaMo2Pb.

abc: 3.6400 4.7778 4.7778
angles: 90.00 90.00 90.00
Element x y z (fractional)
Ba 0.5000 0.0000 0.0000
Mo 0.0000 0.0000 0.5000
Mo 0.0000 0.5000 0.0000
Pb 0.5000 0.5000 0.5000

Its symmetry is P4/mmm. The calculation puts the final energy at -44.88 eV/atom. The total moment comes out at 0.00 μB/atom. The calculation puts the formation energy from the elements at 1399 meV/atom.



The following is a DFT calculation (meta-GGA SCAN) of a PBEsol-optimized structure of Zr2MoPdSe.

abc: 4.4694 4.8936 4.8936
angles: 90.00 90.00 90.00
Element x y z (fractional)
Mo 0.5000 0.0000 0.0000
Se 0.0000 0.0000 0.0000
Zr 0.0000 0.0000 0.5000
Zr 0.0000 0.5000 0.0000
Pd 0.5000 0.5000 0.5000

Its symmetry is P4/mmm. The calculation puts the final energy at -29.48 eV/atom. The total moment comes out at 0.00 μB/atom. The uncorrected formation energy comes out at 342 meV/atom.



The following is a DFT calculation (meta-GGA SCAN) of a PBEsol-optimized structure of NaHPd2.

abc: 5.5888 5.5888 5.5888
angles: 60.00 60.00 60.00
Element x y z (fractional)
Na 0.7500 0.7500 0.7500
Na 0.5000 0.5000 0.5000
Pd 0.1250 0.1250 0.6250
Pd 0.1250 0.1250 0.1250
Pd 0.6250 0.1250 0.1250
Pd 0.1250 0.6250 0.1250
H 0.2500 0.2500 0.2500
H 0.0000 0.0000 0.0000

Its symmetry is Fd-3m. The calculation puts the final energy at -18.50 eV/atom. The total moment comes out at 0.00 μB/atom.



The following is a DFT calculation (meta-GGA SCAN) of a PBEsol-optimized structure of CsNa2H15O9.

abc: 5.8782 12.2291 13.4240
angles: 90.00 90.00 90.00
Last column: magnetic moment on the atom in μB.
Element x y z (fractional)
Cs 0.5975 0.5014 0.0995  0.00
Cs 0.4025 0.0014 0.9005  0.00
Cs 0.5975 0.0014 0.4005  0.00
Cs 0.4025 0.5014 0.5995  0.00
Na 0.7429 0.1783 0.1626  0.00
Na 0.2571 0.6783 0.8374  0.00
Na 0.7429 0.6783 0.3374  0.00
Na 0.2571 0.1783 0.6626  0.00
Na 0.2469 0.1600 0.1429  0.00
Na 0.7531 0.6600 0.8571  0.00
Na 0.2469 0.6600 0.3571  0.00
Na 0.7531 0.1600 0.6429  0.00
H 0.0923 0.2558 0.4259  0.00
H 0.9077 0.7558 0.5741  0.00
H 0.0923 0.7558 0.0741  0.00
H 0.9077 0.2558 0.9259  0.00
H 0.0959 0.3929 0.3182  0.00
H 0.9041 0.8929 0.6818  0.00
H 0.0959 0.8929 0.1818  0.00
H 0.9041 0.3929 0.8182  0.00
H 0.2242 0.3175 0.8677  0.00
H 0.7758 0.8175 0.1323  0.00
H 0.2242 0.8175 0.6323  0.00
H 0.7758 0.3175 0.3677  0.00
H 0.9119 0.1063 0.9926  0.00
H 0.0881 0.6063 0.0074  0.00
H 0.9119 0.6063 0.5074  0.00
H 0.0881 0.1063 0.4926  0.00
H 0.9372 0.9885 0.0561  0.00
H 0.0628 0.4885 0.9439  0.00
H 0.9372 0.4885 0.4439  0.00
H 0.0628 0.9885 0.5561  0.00
H 0.0765 0.1345 0.3341  0.00
H 0.9235 0.6345 0.6659  0.00
H 0.0765 0.6345 0.1659  0.00
H 0.9235 0.1345 0.8341  0.00
H 0.0704 0.0265 0.2632  0.00
H 0.9296 0.5265 0.7368  0.00
H 0.0704 0.5265 0.2368  0.00
H 0.9296 0.0265 0.7632  0.00
H 0.0804 0.3625 0.1698  0.00
H 0.9196 0.8625 0.8302  0.00
H 0.0804 0.8625 0.3302  0.00
H 0.9196 0.3625 0.6698  0.00
H 0.0514 0.3361 0.0493  0.00
H 0.9486 0.8361 0.9507  0.00
H 0.0514 0.8361 0.4507  0.00
H 0.9486 0.3361 0.5493  0.00
H 0.6010 0.2378 0.9894  0.00
H 0.3990 0.7378 0.0106  0.00
H 0.6010 0.7378 0.5106  0.00
H 0.3990 0.2378 0.4894  0.00
H 0.3551 0.2991 0.9943  0.00
H 0.6449 0.7991 0.0057  0.00
H 0.3551 0.7991 0.5057  0.00
H 0.6449 0.2991 0.4943  0.00
H 0.3997 0.9709 0.1773  0.00
H 0.6003 0.4709 0.8227  0.00
H 0.3997 0.4709 0.3227  0.00
H 0.6003 0.9709 0.6773  0.00
H 0.6407 0.9594 0.1191  0.00
H 0.3593 0.4594 0.8809  0.00
H 0.6407 0.4594 0.3809  0.00
H 0.3593 0.9594 0.6191  0.00
H 0.3849 0.2226 0.3368  0.00
H 0.6151 0.7226 0.6632  0.00
H 0.3849 0.7226 0.1632  0.00
H 0.6151 0.2226 0.8368  0.00
H 0.3869 0.3188 0.2644  0.00
H 0.6131 0.8188 0.7356  0.00
H 0.3869 0.8188 0.2356  0.00
H 0.6131 0.3188 0.7644  0.00
O 0.2038 0.1943 0.4235  0.05
O 0.7962 0.6943 0.5765  0.05
O 0.2038 0.6943 0.0765  0.05
O 0.7962 0.1943 0.9235  0.05
O 0.1983 0.4161 0.2634  0.02
O 0.8017 0.9161 0.7366  0.02
O 0.1983 0.9161 0.2366  0.02
O 0.8017 0.4161 0.7634  0.02
O 0.1509 0.3585 0.9221  0.04
O 0.8491 0.8585 0.0779  0.04
O 0.1509 0.8585 0.5779  0.04
O 0.8491 0.3585 0.4221  0.04
O 0.0045 0.0625 0.0434  0.01
O 0.9955 0.5625 0.9566  0.01
O 0.0045 0.5625 0.4566  0.01
O 0.9955 0.0625 0.5434  0.01
O 0.9952 0.1009 0.2746  0.01
O 0.0048 0.6009 0.7254  0.01
O 0.9952 0.6009 0.2254  0.01
O 0.0048 0.1009 0.7746  0.01
O 0.9921 0.3190 0.1169  0.00
O 0.0079 0.8190 0.8831  0.00
O 0.9921 0.8190 0.3831  0.00
O 0.0079 0.3190 0.6169  0.00
O 0.4731 0.2615 0.0370  0.01
O 0.5269 0.7615 0.9630  0.01
O 0.4731 0.7615 0.4630  0.01
O 0.5269 0.2615 0.5370  0.01
O 0.5266 0.0144 0.1425  0.00
O 0.4734 0.5144 0.8575  0.00
O 0.5266 0.5144 0.3575  0.00
O 0.4734 0.0144 0.6425  0.00
O 0.4802 0.2500 0.2782  0.01
O 0.5198 0.7500 0.7218  0.01
O 0.4802 0.7500 0.2218  0.01
O 0.5198 0.2500 0.7782  0.01

Its symmetry is Pca2_1. The calculation puts the final energy at -6.94 eV/atom. The total moment comes out at 0.01 μB/atom.



The following is a DFT calculation (meta-GGA SCAN) of a PBEsol-optimized structure of MnFe2W.

abc: 3.5803 3.5803 4.3994
angles: 114.01 114.01 90.00
Last column: magnetic moment on the atom in μB.
Element x y z (fractional)
Fe 0.7500 0.2500 0.5000  1.31
Fe 0.2500 0.7500 0.5000  1.31
Mn 0.5000 0.5000 0.0000  0.53
W 0.0000 0.0000 0.0000  -0.44

Its symmetry is I4/mmm. For the energy above the lowest structure with this stoichiometry, the calculation gives 207.5 meV/atom. The calculation puts the final energy at -30.84 eV/atom. The total moment comes out at 0.67 μB/atom. The calculation puts the formation energy from the elements at 212 meV/atom.



The following is a DFT calculation (meta-GGA SCAN) of a PBEsol-optimized structure of LaFeAg2.

abc: 3.2392 4.4816 5.7867
angles: 112.78 106.25 90.00
Last column: magnetic moment on the atom in μB.
Element x y z (fractional)
Ag 0.7197 0.7197 0.4394  -0.05
Ag 0.2803 0.2803 0.5606  -0.05
Fe 0.0000 0.5000 0.0000  2.34
La 0.5000 0.0000 0.0000  -0.38

Its symmetry is Immm. The calculation puts the final energy at -30.80 eV/atom. The total moment comes out at 0.37 μB/atom. The calculation puts the formation energy from the elements at 193 meV/atom.